# 1
Here is crystalline Mn5CrP6O24 at its relaxed geometry from Alexandria via LeMat-Bulk. Energies are from PBE+U.

Results
- uncorrected energy (Ha/atom) = -0.273
- calculated volume (A^3/atom) = 12.45

a b c (Å): 8.612 8.612 8.612
angles (deg): 59.65 59.65 59.65
Each line ends with the local moment (μB).
Fractional coordinates of all 36 atoms:
O 0.805 0.009 0.616  -0.03
O 0.616 0.805 0.009  -0.03
O 0.504 0.311 0.120  -0.01
O 0.736 0.086 0.945  -0.01
O 0.882 0.484 0.698  -0.04
O 0.911 0.066 0.259  -0.05
O 0.446 0.578 0.237  -0.06
O 0.698 0.882 0.484  -0.04
O 0.484 0.698 0.882  -0.04
O 0.766 0.553 0.417  -0.05
O 0.009 0.616 0.805  -0.03
O 0.191 0.993 0.383  -0.03
O 0.578 0.237 0.446  -0.06
O 0.237 0.446 0.578  -0.06
O 0.311 0.120 0.504  -0.01
O 0.066 0.259 0.911  -0.05
O 0.945 0.736 0.086  -0.01
O 0.383 0.191 0.993  -0.03
O 0.086 0.945 0.736  -0.01
O 0.120 0.504 0.311  -0.01
O 0.417 0.766 0.553  -0.05
O 0.259 0.911 0.066  -0.05
O 0.553 0.417 0.766  -0.05
O 0.993 0.383 0.191  -0.03
Mn 0.356 0.356 0.356  3.33
Mn 0.000 0.000 0.000  4.65
Mn 0.144 0.144 0.144  3.69
Mn 0.501 0.501 0.501  4.65
Mn 0.644 0.644 0.644  3.78
Cr 0.858 0.858 0.858  2.91
P 0.041 0.458 0.749  0.02
P 0.250 0.962 0.540  0.02
P 0.540 0.250 0.962  0.02
P 0.962 0.540 0.250  0.02
P 0.749 0.041 0.458  0.02
P 0.458 0.749 0.041  0.02


# 2
Here is crystalline Mn2CrP3O12 at its relaxed geometry from Alexandria via LeMat-Bulk. Energies are from PBE+U.

Results
- uncorrected energy (Ha/atom) = -0.272
- calculated volume (A^3/atom) = 12.26

a b c (Å): 8.443 8.443 8.443
angles (deg): 61.65 61.65 61.65
Each line ends with the local moment (μB).
Fractional coordinates of all 36 atoms:
O 0.247 0.064 0.905  -0.06
O 0.436 0.253 0.595  -0.06
O 0.936 0.095 0.753  -0.06
O 0.405 0.564 0.747  -0.06
O 0.905 0.247 0.064  -0.06
O 0.095 0.753 0.936  -0.06
O 0.253 0.595 0.436  -0.06
O 0.680 0.488 0.895  -0.04
O 0.395 0.988 0.180  -0.04
O 0.895 0.680 0.488  -0.04
O 0.747 0.405 0.564  -0.06
O 0.605 0.012 0.820  -0.04
O 0.488 0.895 0.680  -0.04
O 0.180 0.395 0.988  -0.04
O 0.820 0.605 0.012  -0.04
O 0.595 0.436 0.253  -0.06
O 0.105 0.320 0.512  -0.04
O 0.012 0.820 0.605  -0.04
O 0.564 0.747 0.405  -0.06
O 0.320 0.512 0.105  -0.04
O 0.064 0.905 0.247  -0.06
O 0.988 0.180 0.395  -0.04
O 0.512 0.105 0.320  -0.04
O 0.753 0.936 0.095  -0.06
P 0.951 0.250 0.549  0.02
P 0.750 0.451 0.049  0.02
P 0.451 0.049 0.750  0.02
P 0.250 0.549 0.951  0.02
P 0.549 0.951 0.250  0.02
P 0.049 0.750 0.451  0.02
Mn 0.355 0.355 0.355  4.06
Mn 0.645 0.645 0.645  4.06
Mn 0.145 0.145 0.145  4.06
Mn 0.855 0.855 0.855  4.06
Cr 0.500 0.500 0.500  3.05
Cr 0.000 0.000 0.000  3.05


# 3
Here is crystalline Mn2CrPO8 at its relaxed geometry from Alexandria via LeMat-Bulk. Energies are from PBE+U.

Results
- uncorrected energy (Ha/atom) = -0.251
- calculated volume (A^3/atom) = 12.02

a b c (Å): 5.709 5.709 5.112
angles (deg): 90.00 90.00 120.00
Each line ends with the local moment (μB).
Fractional coordinates of all 12 atoms:
O 0.333 0.667 0.807  -0.49
O 0.863 0.137 0.791  -0.10
O 0.137 0.275 0.209  -0.10
O 0.725 0.863 0.209  -0.10
O 0.275 0.137 0.791  -0.10
O 0.863 0.725 0.791  -0.10
O 0.137 0.863 0.209  -0.10
O 0.667 0.333 0.193  -0.49
Mn 0.333 0.667 0.140  3.67
Mn 0.667 0.333 0.860  3.67
Cr 0.000 0.000 0.500  3.05
P 0.000 0.000 0.000  0.04